(1)
# Gd2ZnHgAs2O2

A relaxed Gd2ZnHgAs2O2 crystal (PBE, OQMD via LeMat-Bulk).

a b c (Å): 4.0447 4.0447 9.0256
angles (deg): 90.00 90.00 90.00
Fractional positions:
O 0.0000 0.0000 0.5000
O 0.5000 0.5000 0.5000
As 0.0000 0.5000 0.1989
As 0.5000 0.0000 0.8011
Gd 0.0000 0.5000 0.6204
Gd 0.5000 0.0000 0.3796
Zn 0.5000 0.5000 0.0000
Hg 0.0000 0.0000 0.0000

Results
* space group: P-4m2, No. 115

***

(2)
# TbAlNO

A relaxed TbAlNO crystal (PBE, OQMD via LeMat-Bulk).

a b c (Å): 4.9721 5.1476 7.9112
angles (deg): 90.00 90.00 90.00
Fractional positions:
Al 0.9969 0.5614 0.3858
Al 0.4969 0.4386 0.6142
Al 0.4969 0.9386 0.3858
Al 0.9969 0.0614 0.6142
N 0.5313 0.9935 0.1629
N 0.0313 0.0065 0.8371
N 0.0313 0.5065 0.1629
N 0.5313 0.4935 0.8371
Tb 0.5307 0.9903 0.8671
Tb 0.5307 0.4903 0.1329
Tb 0.0307 0.5097 0.8671
Tb 0.0307 0.0097 0.1329
O 0.6435 0.6233 0.4457
O 0.6435 0.1233 0.5543
O 0.1434 0.8767 0.4457
O 0.1434 0.3767 0.5543

Results
* space group: Pca2_1, No. 29
* energy relative to the lowest polymorph listed for this composition: 0.53 kcal/mol of atoms

***

(3)
# Sm3AuO6

A relaxed Sm3AuO6 crystal (PBE, OQMD via LeMat-Bulk).

a b c (Å): 7.2549 7.2549 5.6581
angles (deg): 90.00 90.00 101.81
Fractional positions:
Sm 0.6027 0.3973 0.0192
Sm 0.3237 0.0915 0.4624
Sm 0.3973 0.6027 0.5192
Sm 0.6763 0.9085 0.9624
Sm 0.0915 0.3237 0.9624
Sm 0.9085 0.6763 0.4624
O 0.2214 0.7786 0.2849
O 0.4091 0.8941 0.7505
O 0.6744 0.6420 0.7386
O 0.9758 0.0242 0.1723
O 0.7786 0.2214 0.7849
O 0.8941 0.4091 0.2505
O 0.0242 0.9758 0.6723
O 0.6420 0.6744 0.2386
O 0.1059 0.5909 0.7505
O 0.3256 0.3580 0.2386
O 0.5909 0.1059 0.2505
O 0.3580 0.3256 0.7386
Au 0.1379 0.8621 0.9680
Au 0.8621 0.1379 0.4680

Results
* space group: Cmc2_1, No. 36

***

(4)
# Rb3NaAg2Sb2

A relaxed Rb3NaAg2Sb2 crystal (PBE, OQMD via LeMat-Bulk).

a b c (Å): 6.7016 6.3208 7.0074
angles (deg): 90.00 103.09 90.00
Fractional positions:
Sb 0.2586 0.5000 0.2794
Sb 0.7760 0.0000 0.7328
Ag 0.0024 0.2540 0.0120
Ag 0.0024 0.7460 0.0120
Rb 0.5339 0.0000 0.1756
Rb 0.8176 0.5000 0.4871
Rb 0.4528 0.5000 0.8160
Na 0.1563 0.0000 0.4852

Results
* space group: Pm, No. 6

***

no.,VASP energy (eV/cell),volume (Å³/cell)
1,-43.48,147.7
2,-117.29,202.5
3,-144.30,291.5
4,-20.98,289.1